1.
A plane-wave DFT calculation with GGA-PBEsol was carried out for FePBr2 after structural relaxation.

Calculated values
- Space-group type: P4/mmm, No. 123
- Relative energy among the computed polymorphs: 867.3 meV/atom
- V: 72 Å³ per cell
- ΔE_f (raw): 0.82 eV per atom

Cell: 4.740 4.740 3.204 Å, 90.00 90.00 90.00°
Atoms (fractional coordinates):
Fe 0.000 0.000 0.000
P 0.500 0.500 0.000
Br 0.000 0.500 0.500
Br 0.500 0.000 0.500



2.
A plane-wave DFT calculation with GGA-PBEsol was carried out for CaMo4Br after structural relaxation.

Calculated values
- Space-group type: F-43m, No. 216
- V: 110 Å³ per cell
- ΔE_f (raw): 0.81 eV per atom

Cell: 5.381 5.381 5.381 Å, 60.00 60.00 60.00°
Atoms (fractional coordinates):
Ca 0.000 0.000 0.000
Mo 0.377 0.377 0.377
Mo 0.377 0.377 0.868
Mo 0.377 0.868 0.377
Mo 0.868 0.377 0.377
Br 0.750 0.750 0.750